The following is a PBE-GGA calculation of crystalline TaFeSbPt at its relaxed geometry, from OQMD via LeMat-Bulk.

The space group is F-43m (No. 216) and the conventional cell measures 6.4589, 6.4589 and 6.4589 Å, with angles of 90.00, 90.00 and 90.00 degrees. The distinct sites, in fractional coordinates, are Ta at (0.0000, 0.0000, 0.0000), Fe at (0.2500, 0.2500, 0.7500), Sb at (0.0000, 0.0000, 0.5000) and Pt at (0.2500, 0.2500, 0.2500).

The calculation puts the excess energy over the best structure of this formula in the dataset at 48.4 meV/atom. The total moment comes out at 5.3 μB/cell.